# KPuTcN3

A relaxed structure of KPuTcN3 (PBE, Alexandria via LeMat-Bulk).

Lattice parameters (Å, degrees): 3.834 6.947 7.589 103.00 90.00 106.02
Each line ends with the local moment (μB).
Fractional coordinates of all 12 atoms:
K  0.359  0.719  0.936  0.00
K  0.641  0.281  0.064  0.00
Pu  0.660  0.319  0.584  3.98
Pu  0.340  0.681  0.416  3.98
Tc  0.005  0.010  0.341  0.11
Tc  0.995  0.990  0.659  0.11
N  0.850  0.700  0.242  -0.19
N  0.831  0.663  0.603  -0.21
N  0.507  0.015  0.316  -0.06
N  0.169  0.337  0.397  -0.21
N  0.493  0.985  0.684  -0.06
N  0.150  0.300  0.758  -0.19

## Properties
**DFT total energy**: -8.96 eV per atom
**SG**: C2/m (12)
**Uncorrected formation energy**: -499.3 meV/atom



# K2PuUN4

A relaxed structure of K2PuUN4 (PBE, Alexandria via LeMat-Bulk).

Lattice parameters (Å, degrees): 3.533 6.148 6.709 108.25 90.00 90.00
Each line ends with the local moment (μB).
Fractional coordinates of all 8 atoms:
K  0.500  0.000  0.500  0.01
K  0.000  0.500  0.500  0.00
Pu  0.000  0.000  0.000  4.14
U  0.500  0.500  0.000  0.26
N  0.500  0.230  0.155  -0.15
N  0.500  0.770  0.845  -0.15
N  0.000  0.296  0.839  -0.06
N  0.000  0.704  0.161  -0.06

## Properties
**DFT total energy**: -8.55 eV per atom
**SG**: P2/m (10)
**Uncorrected formation energy**: -906.8 meV/atom



# K2RbN6

A relaxed structure of K2RbN6 (PBE, Alexandria via LeMat-Bulk).

Lattice parameters (Å, degrees): 7.398 7.398 3.998 90.00 90.00 120.00
Each line ends with the local moment (μB).
Fractional coordinates of all 9 atoms:
K  0.333  0.667  0.500  0.01
K  0.667  0.333  0.500  0.01
Rb  0.000  0.000  0.000  0.00
N  0.000  0.580  0.000  0.14
N  0.580  0.000  0.000  0.14
N  0.420  0.420  0.000  0.14
N  0.420  0.000  0.000  0.14
N  0.000  0.420  0.000  0.14
N  0.580  0.580  0.000  0.14

## Properties
**DFT total energy**: -5.98 eV per atom
**SG**: P6/mmm (191)
**Uncorrected formation energy**: -82.3 meV/atom



# KRb2N

A relaxed structure of KRb2N (PBE, Alexandria via LeMat-Bulk).

Lattice parameters (Å, degrees): 8.882 8.882 8.907 60.09 60.09 90.00
Fractional coordinates of all 8 atoms:
K  0.000  0.000  0.000
K  0.750  0.250  0.500
Rb  0.378  0.125  0.250
Rb  0.372  0.625  0.250
Rb  0.375  0.622  0.750
Rb  0.875  0.628  0.750
N  0.500  0.500  0.000
N  0.250  0.750  0.500

## Properties
**DFT total energy**: -2.09 eV per atom
**SG**: I-42d (122)
**Uncorrected formation energy**: 751.7 meV/atom



# KRbN4

A relaxed structure of KRbN4 (PBE, Alexandria via LeMat-Bulk).

Lattice parameters (Å, degrees): 7.842 7.476 7.844 125.98 127.27 77.12
Each line ends with the local moment (μB).
Fractional coordinates of all 12 atoms:
K  0.151  0.901  0.803  0.02
K  0.849  0.099  0.197  0.02
Rb  0.385  0.634  0.269  0.02
Rb  0.615  0.366  0.731  0.02
N  0.023  0.312  0.108  0.21
N  0.814  0.684  0.714  0.21
N  0.585  0.796  0.108  0.21
N  0.400  0.029  0.714  0.21
N  0.600  0.971  0.286  0.21
N  0.415  0.204  0.892  0.21
N  0.186  0.316  0.286  0.21
N  0.977  0.688  0.892  0.21

## Properties
**DFT total energy**: -5.98 eV per atom
**SG**: C2/c (15)
**Uncorrected formation energy**: -87.1 meV/atom



# K2RbN

A relaxed structure of K2RbN (PBE, Alexandria via LeMat-Bulk).

Lattice parameters (Å, degrees): 8.502 8.502 8.579 60.30 60.30 90.00
Fractional coordinates of all 8 atoms:
K  0.376  0.125  0.250
K  0.374  0.625  0.250
K  0.375  0.624  0.750
K  0.875  0.626  0.750
Rb  0.000  0.000  0.000
Rb  0.750  0.250  0.500
N  0.500  0.500  0.000
N  0.250  0.750  0.500

## Properties
**DFT total energy**: -2.21 eV per atom
**SG**: I-42d (122)
**Uncorrected formation energy**: 661.9 meV/atom



# K2RbN2

A relaxed structure of K2RbN2 (PBE, Alexandria via LeMat-Bulk).

Lattice parameters (Å, degrees): 8.470 8.470 7.970 90.00 90.00 90.00
Fractional coordinates of all 10 atoms:
K  0.188  0.688  0.500
K  0.688  0.812  0.500
K  0.812  0.312  0.500
K  0.312  0.188  0.500
Rb  0.000  0.000  0.000
Rb  0.500  0.500  0.000
N  0.453  0.953  0.000
N  0.953  0.547  0.000
N  0.547  0.047  0.000
N  0.047  0.453  0.000

## Properties
**DFT total energy**: -3.88 eV per atom
**SG**: P4/mbm (127)
**Uncorrected formation energy**: 83.5 meV/atom



# KRbN2

A relaxed structure of KRbN2 (PBE, Alexandria via LeMat-Bulk).

Lattice parameters (Å, degrees): 5.014 5.014 5.014 60.00 60.00 60.00
Each line ends with the local moment (μB).
Fractional coordinates of all 4 atoms:
K  0.000  0.000  0.000  0.01
Rb  0.500  0.500  0.500  0.03
N  0.250  0.250  0.250  1.29
N  0.750  0.750  0.750  1.29

## Properties
**DFT total energy**: -3.29 eV per atom
**SG**: Fm-3m (225)
**E above lowest polymorph**: 1444.9 meV/atom
**Uncorrected formation energy**: 1388.0 meV/atom



# KRbN2

A relaxed structure of KRbN2 (PBE, Alexandria via LeMat-Bulk).

Lattice parameters (Å, degrees): 8.898 8.898 8.898 28.64 28.64 28.64
Each line ends with the local moment (μB).
Fractional coordinates of all 4 atoms:
K  0.000  0.000  0.000  0.01
Rb  0.500  0.500  0.500  0.04
N  0.898  0.898  0.898  1.28
N  0.102  0.102  0.102  1.28

## Properties
**DFT total energy**: -3.06 eV per atom
**SG**: R-3m (166)
**E above lowest polymorph**: 1670.8 meV/atom
**Uncorrected formation energy**: 1614.0 meV/atom



# K3RbN

A relaxed structure of K3RbN (PBE, Alexandria via LeMat-Bulk).

Lattice parameters (Å, degrees): 5.988 5.988 5.988 90.00 90.00 90.00
Fractional coordinates of all 5 atoms:
K  0.000  0.500  0.000
K  0.000  0.000  0.500
K  0.500  0.000  0.000
Rb  0.500  0.500  0.500
N  0.000  0.000  0.000

## Properties
**DFT total energy**: -2.02 eV per atom
**SG**: Pm-3m (221)
**E above lowest polymorph**: 0.0 meV/atom
**Uncorrected formation energy**: 496.2 meV/atom



# K3RbN

A relaxed structure of K3RbN (PBE, Alexandria via LeMat-Bulk).

Lattice parameters (Å, degrees): 7.444 7.444 7.444 90.00 90.00 90.00
Fractional coordinates of all 5 atoms:
K  0.000  0.500  0.000
K  0.000  0.000  0.500
K  0.500  0.000  0.000
Rb  0.000  0.000  0.000
N  0.500  0.500  0.500

## Properties
**DFT total energy**: -1.00 eV per atom
**SG**: Pm-3m (221)
**E above lowest polymorph**: 1021.5 meV/atom
**Uncorrected formation energy**: 1517.7 meV/atom



# KRbN2

A relaxed structure of KRbN2 (PBE, Alexandria via LeMat-Bulk).

Lattice parameters (Å, degrees): 7.516 7.516 6.603 55.31 55.31 90.00
Each line ends with the local moment (μB).
Fractional coordinates of all 8 atoms:
K  0.500  0.500  0.000  0.02
K  0.250  0.750  0.500  0.02
Rb  0.000  0.000  0.000  0.03
Rb  0.750  0.250  0.500  0.03
N  0.611  0.125  0.250  1.28
N  0.139  0.625  0.250  1.29
N  0.375  0.389  0.750  1.28
N  0.875  0.861  0.750  1.29

## Properties
**DFT total energy**: -3.21 eV per atom
**SG**: I-42d (122)
**E above lowest polymorph**: 1521.7 meV/atom
**Uncorrected formation energy**: 1464.9 meV/atom



no.,magnetization (μB/cell)
1,7.2
2,4.0
3,1.6
4,0.0
5,3.3
6,0.0
7,0.0
8,4.0
9,4.0
10,0.0
11,0.0
12,8.0